DFT (GGA-PBE) results for a relaxed structure of FeSiCN.

Lattice parameters (Å, degrees): 2.696 2.696 5.707 103.59 103.59 60.05
Fractional coordinates of all 4 atoms:
Fe 0.000 0.000 0.000
Si 0.217 0.217 0.653
C 0.405 0.405 0.214
N 0.489 0.489 0.466

**Fermi-level density of states**: 0.35 states/eV per atom
**Offset from the most stable computed form**: 21 meV per atom
**SG**: No. 8